This record from OQMD describes a relaxed structure of Li7Au2. The functional is PBE-GGA.

Cell: 4.424 4.424 8.003 Å, 90.00 90.00 120.00°
Fractional coordinates of all 9 atoms:
Au: 0.667 0.333 0.766
Au: 0.333 0.667 0.234
Li: 0.333 0.667 0.572
Li: 0.667 0.333 0.102
Li: 0.000 0.000 0.324
Li: 0.333 0.667 0.898
Li: 0.000 0.000 0.000
Li: 0.000 0.000 0.676
Li: 0.667 0.333 0.428

Output
Its total energy is -23.10 eV per cell. As for the space group: P-3m1, No. 164.


This record from OQMD describes a relaxed structure of Li5Au2. The functional is PBE-GGA.

Cell: 6.923 6.923 6.923 Å, 36.56 36.56 36.56°
Fractional coordinates of all 7 atoms:
Li: 0.500 0.500 0.500
Li: 0.645 0.645 0.645
Li: 0.355 0.355 0.355
Li: 0.787 0.787 0.787
Li: 0.213 0.213 0.213
Au: 0.926 0.926 0.926
Au: 0.074 0.074 0.074

Output
Its total energy is -19.04 eV per cell. As for the space group: R-3m, No. 166.


This record from OQMD describes a relaxed structure of Li2Au. The functional is PBE-GGA.

Cell: 8.294 18.357 2.969 Å, 90.00 90.00 90.00°
Fractional coordinates of all 30 atoms:
Li: 0.159 0.200 0.500
Li: 0.660 0.900 0.000
Li: 0.341 0.500 0.000
Li: 0.841 0.600 0.500
Li: 0.841 0.000 0.500
Li: 0.659 0.500 0.000
Li: 0.659 0.100 0.000
Li: 0.159 0.000 0.500
Li: 0.840 0.200 0.500
Li: 0.160 0.600 0.500
Li: 0.340 0.100 0.000
Li: 0.660 0.700 0.000
Li: 0.159 0.400 0.500
Li: 0.341 0.900 0.000
Li: 0.160 0.800 0.500
Li: 0.659 0.300 0.000
Li: 0.341 0.700 0.000
Li: 0.840 0.400 0.500
Li: 0.841 0.800 0.500
Li: 0.340 0.300 0.000
Au: 0.000 0.300 0.000
Au: 0.000 0.900 0.000
Au: 0.000 0.500 0.000
Au: 0.000 0.700 0.000
Au: 0.500 0.000 0.500
Au: 0.500 0.800 0.500
Au: 0.500 0.200 0.500
Au: 0.000 0.100 0.000
Au: 0.500 0.400 0.500
Au: 0.500 0.600 0.500

Output
Its total energy is -84.58 eV per cell. As for the space group: Immm, No. 71.


This record from OQMD describes a relaxed structure of Li3Au2. The functional is PBE-GGA.

Cell: 5.003 5.003 6.750 Å, 101.33 101.33 90.74°
Fractional coordinates of all 10 atoms:
Li: 0.630 0.370 0.750
Li: 0.254 0.128 0.983
Li: 0.746 0.872 0.017
Li: 0.370 0.630 0.250
Li: 0.872 0.746 0.517
Li: 0.128 0.254 0.483
Au: 0.144 0.591 0.865
Au: 0.409 0.856 0.635
Au: 0.591 0.144 0.365
Au: 0.856 0.409 0.135

Output
Its total energy is -29.46 eV per cell. As for the space group: C2/c, No. 15.


This record from OQMD describes a relaxed structure of Li29Au6. The functional is PBE-GGA.

Cell: 13.234 13.234 13.234 Å, 90.00 90.00 90.00°
Fractional coordinates of all 140 atoms:
Li: 0.500 0.000 0.689
Li: 0.687 0.387 0.806
Li: 0.000 0.000 0.346
Li: 0.500 0.105 0.119
Li: 0.883 0.301 0.816
Li: 0.184 0.117 0.699
Li: 0.325 0.500 0.608
Li: 0.500 0.500 0.500
Li: 0.301 0.816 0.117
Li: 0.816 0.883 0.699
Li: 0.117 0.699 0.184
Li: 0.119 0.169 0.000
Li: 0.119 0.500 0.895
Li: 0.500 0.124 0.500
Li: 0.500 0.895 0.119
Li: 0.687 0.387 0.194
Li: 0.608 0.675 0.500
Li: 0.000 0.119 0.169
Li: 0.881 0.831 0.000
Li: 0.500 0.608 0.675
Li: 0.675 0.500 0.392
Li: 0.500 0.000 0.311
Li: 0.169 0.000 0.881
Li: 0.500 0.895 0.881
Li: 0.000 0.403 0.683
Li: 0.816 0.117 0.301
Li: 0.000 0.403 0.317
Li: 0.500 0.876 0.500
Li: 0.654 0.000 0.000
Li: 0.597 0.683 0.000
Li: 0.613 0.194 0.687
Li: 0.806 0.687 0.613
Li: 0.387 0.194 0.687
Li: 0.313 0.387 0.194
Li: 0.403 0.317 0.000
Li: 0.000 0.000 0.000
Li: 0.000 0.597 0.317
Li: 0.687 0.613 0.806
Li: 0.311 0.500 0.000
Li: 0.699 0.184 0.883
Li: 0.317 0.000 0.403
Li: 0.194 0.313 0.387
Li: 0.387 0.194 0.313
Li: 0.806 0.313 0.613
Li: 0.325 0.500 0.392
Li: 0.317 0.000 0.597
Li: 0.392 0.325 0.500
Li: 0.883 0.301 0.184
Li: 0.500 0.608 0.325
Li: 0.806 0.687 0.387
Li: 0.346 0.000 0.000
Li: 0.169 0.000 0.119
Li: 0.831 0.000 0.119
Li: 0.883 0.699 0.184
Li: 0.000 0.689 0.500
Li: 0.194 0.313 0.613
Li: 0.500 0.105 0.881
Li: 0.613 0.194 0.313
Li: 0.313 0.387 0.806
Li: 0.699 0.184 0.117
Li: 0.683 0.000 0.403
Li: 0.000 0.881 0.169
Li: 0.000 0.311 0.500
Li: 0.881 0.500 0.105
Li: 0.683 0.000 0.597
Li: 0.124 0.500 0.500
Li: 0.000 0.000 0.654
Li: 0.000 0.881 0.831
Li: 0.184 0.117 0.301
Li: 0.816 0.883 0.301
Li: 0.301 0.184 0.117
Li: 0.500 0.500 0.876
Li: 0.194 0.687 0.387
Li: 0.895 0.119 0.500
Li: 0.119 0.500 0.105
Li: 0.895 0.881 0.500
Li: 0.675 0.500 0.608
Li: 0.608 0.325 0.500
Li: 0.313 0.613 0.194
Li: 0.387 0.806 0.313
Li: 0.881 0.500 0.895
Li: 0.403 0.683 0.000
Li: 0.500 0.500 0.124
Li: 0.699 0.816 0.883
Li: 0.000 0.119 0.831
Li: 0.883 0.699 0.816
Li: 0.881 0.169 0.000
Li: 0.500 0.392 0.675
Li: 0.816 0.117 0.699
Li: 0.301 0.816 0.883
Li: 0.613 0.806 0.313
Li: 0.806 0.313 0.387
Li: 0.105 0.881 0.500
Li: 0.301 0.184 0.883
Li: 0.831 0.000 0.881
Li: 0.184 0.883 0.699
Li: 0.313 0.613 0.806
Li: 0.699 0.816 0.117
Li: 0.117 0.699 0.816
Li: 0.119 0.831 0.000
Li: 0.597 0.317 0.000
Li: 0.194 0.687 0.613
Li: 0.117 0.301 0.816
Li: 0.392 0.675 0.500
Li: 0.500 0.392 0.325
Li: 0.000 0.597 0.683
Li: 0.876 0.500 0.500
Li: 0.117 0.301 0.184
Li: 0.689 0.500 0.000
Li: 0.105 0.119 0.500
Li: 0.184 0.883 0.301
Li: 0.687 0.613 0.194
Li: 0.000 0.346 0.000
Li: 0.000 0.654 0.000
Li: 0.387 0.806 0.687
Li: 0.613 0.806 0.687
Au: 0.500 0.708 0.168
Au: 0.662 0.000 0.794
Au: 0.168 0.500 0.292
Au: 0.292 0.168 0.500
Au: 0.206 0.338 0.000
Au: 0.708 0.832 0.500
Au: 0.500 0.708 0.832
Au: 0.662 0.000 0.206
Au: 0.206 0.662 0.000
Au: 0.708 0.168 0.500
Au: 0.338 0.000 0.794
Au: 0.000 0.794 0.662
Au: 0.500 0.292 0.168
Au: 0.292 0.832 0.500
Au: 0.168 0.500 0.708
Au: 0.000 0.794 0.338
Au: 0.832 0.500 0.708
Au: 0.794 0.338 0.000
Au: 0.794 0.662 0.000
Au: 0.000 0.206 0.662
Au: 0.500 0.292 0.832
Au: 0.000 0.206 0.338
Au: 0.832 0.500 0.292
Au: 0.338 0.000 0.206

Output
Its total energy is -337.20 eV per cell. As for the space group: Pm-3, No. 200.


This record from OQMD describes a relaxed structure of LiAu4. The functional is PBE-GGA.

Cell: 6.994 6.994 6.994 Å, 90.00 90.00 90.00°
Fractional coordinates of all 20 atoms:
Au: 0.545 0.622 0.296
Au: 0.622 0.296 0.545
Au: 0.933 0.567 0.433
Au: 0.296 0.545 0.622
Au: 0.204 0.455 0.122
Au: 0.045 0.878 0.704
Au: 0.455 0.122 0.204
Au: 0.704 0.045 0.878
Au: 0.067 0.067 0.067
Au: 0.378 0.796 0.955
Au: 0.122 0.204 0.455
Au: 0.567 0.433 0.933
Au: 0.955 0.378 0.796
Au: 0.433 0.933 0.567
Au: 0.878 0.704 0.045
Au: 0.796 0.955 0.378
Li: 0.311 0.189 0.811
Li: 0.811 0.311 0.189
Li: 0.689 0.689 0.689
Li: 0.189 0.811 0.311

Output
Its total energy is -65.04 eV per cell. As for the space group: P2_13, No. 198.


Which formula does entry 2 have? Li5Au2


Number 5 is which compound? Li29Au6